DFT (PBE) results for Ba2AlPd after structural relaxation.

Cell: 8.9728 8.9728 7.2628 Å, 51.85 51.85 90.00°
Sites, in units of the cell vectors:
Ba: 0.6706 0.1250 0.2500
Ba: 0.0794 0.6250 0.2500
Ba: 0.3750 0.3294 0.7500
Ba: 0.8750 0.9206 0.7500
Pd: 0.0000 0.0000 0.0000
Pd: 0.7500 0.2500 0.5000
Al: 0.5000 0.5000 0.0000
Al: 0.2500 0.7500 0.5000

Computed properties:
The density of states at the Fermi level is 9.9 states/eV/cell. As for the formation energy from the elements: 4 kJ per mole of atoms. The crystal system is tetragonal. As for the space group: No. 122.